(1)
First-principles (GGA-PBE) data for a geometry-optimized Mg2RhCl structure, as listed in the Alexandria database.

a = 6.750 Å, b = 6.750 Å, c = 6.014 Å
α = 55.87°, β = 55.87°, γ = 90.00°
Sites, in units of the cell vectors:
Cl (0.250, 0.750, 0.500)
Cl (0.500, 0.500, 0.000)
Mg (0.875, 0.873, 0.750)
Mg (0.127, 0.625, 0.250)
Mg (0.375, 0.377, 0.750)
Mg (0.623, 0.125, 0.250)
Rh (0.000, 0.000, 0.000)
Rh (0.750, 0.250, 0.500)

E above lowest polymorph: 557 meV/atom
ΔE_f (raw): -5.81 kcal/mol of atoms

(2)
First-principles (GGA-PBE) data for a geometry-optimized ThTc2BC structure, as listed in the Alexandria database.

a = 3.746 Å, b = 5.727 Å, c = 7.237 Å
α = 90.00°, β = 90.00°, γ = 109.09°
Sites, in units of the cell vectors:
Th (0.459, 0.918, 0.750)
Th (0.541, 0.082, 0.250)
Tc (0.180, 0.359, 0.562)
Tc (0.820, 0.641, 0.438)
Tc (0.180, 0.359, 0.938)
Tc (0.820, 0.641, 0.062)
B (0.735, 0.469, 0.750)
B (0.265, 0.531, 0.250)
C (0.000, 0.000, 0.500)
C (0.000, 0.000, 0.000)

formation energy: -0.317 eV per atom

(3)
First-principles (GGA-PBE) data for a geometry-optimized Pm3Dy2Y6 structure, as listed in the Alexandria database.

a = 6.201 Å, b = 8.034 Å, c = 16.497 Å
α = 50.42°, β = 63.77°, γ = 104.76°
Sites, in units of the cell vectors:
Y (0.271, 0.634, 0.092)
Y (0.364, 0.183, 0.454)
Y (0.729, 0.366, 0.908)
Y (0.911, 0.455, 0.635)
Y (0.089, 0.545, 0.365)
Y (0.636, 0.817, 0.546)
Pm (0.180, 0.089, 0.728)
Pm (0.820, 0.911, 0.272)
Pm (0.000, 0.000, 0.000)
Dy (0.548, 0.275, 0.181)
Dy (0.452, 0.725, 0.819)

formation energy: 0.017 eV per atom

Table of DOS(E_F) (states/eV/cell), in record order: 3.7 6.4 15.6
Table of mass density (Mg/m³), in record order: 3.724 10.204 5.990